(a)
K2WCl6 after structural relaxation. Source: the Alexandria database, functional PBE-GGA.

POSCAR file:
```
K2WCl6
1.0
6.7623 0.0000 0.0000
0.0000 6.7623 0.0000
0.0000 0.0000 13.1897
K W Cl
4 2 12
direct
0.0000 0.0000 0.1672 K
0.0000 0.0000 0.8328 K
0.5000 0.5000 0.3328 K
0.5000 0.5000 0.6672 K
0.0000 0.0000 0.5000 W
0.5000 0.5000 0.0000 W
0.1763 0.1763 0.3697 Cl
0.1763 0.1763 0.6303 Cl
0.2493 0.7507 0.5000 Cl
0.2507 0.2507 0.0000 Cl
0.3237 0.6763 0.1303 Cl
0.3237 0.6763 0.8697 Cl
0.6763 0.3237 0.1303 Cl
0.6763 0.3237 0.8697 Cl
0.7493 0.7493 0.0000 Cl
0.7507 0.2493 0.5000 Cl
0.8237 0.8237 0.3697 Cl
0.8237 0.8237 0.6303 Cl
```

* V: 33.51 A^3/atom



(b)
K2WCl6 after structural relaxation. Source: the Alexandria database, functional PBE-GGA.

POSCAR file:
```
K2WCl6
1.0
0.0000 5.0202 5.0202
5.0202 0.0000 5.0202
5.0202 5.0202 0.0000
K W Cl
2 1 6
direct
0.2500 0.2500 0.2500 K
0.7500 0.7500 0.7500 K
0.0000 0.0000 0.0000 W
0.2384 0.2384 0.7616 Cl
0.2384 0.7616 0.2384 Cl
0.2384 0.7616 0.7616 Cl
0.7616 0.2384 0.2384 Cl
0.7616 0.2384 0.7616 Cl
0.7616 0.7616 0.2384 Cl
```

* V: 28.12 A^3/atom



(b) (3.8 kJ/mol of atoms below the next structure)